1.
Compound: U5P5S2
Source: the Alexandria database
Functional: GGA-PBE
Structure: optimized geometry

Values from the calculation:
The calculation puts the density of states at the Fermi level at 23.64 states/eV per cell. As for the space group: C2/m. As for the crystal system: monoclinic. The uncorrected formation energy is -0.906 eV per atom.

Geometry as POSCAR:
```
U5P5S2
1.0
6.496 -1.917 0.000
6.496 1.917 0.000
-3.447 0.000 10.639
U P S
5 5 2
Direct
0.000 0.000 0.000
0.119 0.119 0.429
0.305 0.305 0.198
0.695 0.695 0.802
0.881 0.881 0.571
0.274 0.274 0.664
0.341 0.341 0.946
0.500 0.500 0.500
0.659 0.659 0.054
0.726 0.726 0.336
0.043 0.043 0.785
0.957 0.957 0.215
```

2.
Compound: PrThRu4
Source: the Alexandria database
Functional: GGA-PBE
Structure: optimized geometry

Values from the calculation:
The calculation puts the density of states at the Fermi level at 3.95 states/eV per cell. For the formation energy, the calculation gives -211 meV per atom. As for the space group: F-43m. As for the crystal system: cubic.

Geometry as POSCAR:
```
PrThRu4
1.0
0.000 3.843 3.843
3.843 0.000 3.843
3.843 3.843 0.000
Pr Th Ru
1 1 4
Direct
0.000 0.000 0.000
0.250 0.250 0.250
0.125 0.625 0.625
0.625 0.125 0.625
0.625 0.625 0.125
0.625 0.625 0.625
```

3.
Compound: Li3Ho3PaTe8
Source: the Alexandria database
Functional: GGA-PBE
Structure: optimized geometry

Values from the calculation:
The calculation puts the density of states at the Fermi level at 4.92 states/eV per cell. As for the space group: R-3m. As for the crystal system: trigonal. The uncorrected formation energy is -1.177 eV per atom.

Geometry as POSCAR:
```
Li3Ho3PaTe8
1.0
4.338 2.505 7.069
-4.338 2.505 7.069
0.000 -5.010 7.069
Li Ho Pa Te
3 3 1 8
Direct
0.000 0.500 0.500
0.500 0.000 0.500
0.500 0.500 0.000
0.000 0.000 0.500
0.000 0.500 0.000
0.500 0.000 0.000
0.500 0.500 0.500
0.248 0.248 0.751
0.248 0.751 0.248
0.249 0.752 0.752
0.251 0.251 0.251
0.749 0.749 0.749
0.751 0.248 0.248
0.752 0.249 0.752
0.752 0.752 0.249
```

4.
Compound: Cu2PPt
Source: the Alexandria database
Functional: GGA-PBE
Structure: optimized geometry

Values from the calculation:
The calculation puts the density of states at the Fermi level at 2.06 states/eV per cell. For the formation energy, the calculation gives 65 meV per atom. As for the space group: P4/mmm. As for the crystal system: tetragonal.

Geometry as POSCAR:
```
Cu2PPt
1.0
2.771 0.000 0.000
0.000 2.771 0.000
0.000 0.000 7.059
Cu P Pt
2 1 1
Direct
0.000 0.000 0.236
0.000 0.000 0.764
0.500 0.500 0.000
0.500 0.500 0.500
```

5.
Compound: Cs2Np2ScSe6
Source: the Alexandria database
Functional: GGA-PBE
Structure: optimized geometry

Values from the calculation:
The calculation puts the density of states at the Fermi level at 20.83 states/eV per cell. As for the space group: C2/m. As for the crystal system: monoclinic. The uncorrected formation energy is -1.360 eV per atom.

Geometry as POSCAR:
```
Cs2Np2ScSe6
1.0
3.583 -6.180 0.000
3.583 6.180 0.000
-2.401 0.000 8.559
Cs Np Sc Se
2 2 1 6
Direct
0.167 0.833 0.000
0.833 0.167 0.000
0.333 0.667 0.500
0.667 0.333 0.500
0.000 0.000 0.500
0.061 0.384 0.679
0.263 0.263 0.322
0.384 0.061 0.679
0.616 0.939 0.321
0.737 0.737 0.678
0.939 0.616 0.321
```

6.
Compound: DyEr6Pd3
Source: the Alexandria database
Functional: GGA-PBE
Structure: optimized geometry

Values from the calculation:
The calculation puts the density of states at the Fermi level at 21.49 states/eV per cell. For the formation energy, the calculation gives -520 meV per atom. As for the space group: Cmc2_1. As for the crystal system: orthorhombic.

Geometry as POSCAR:
```
DyEr6Pd3
1.0
5.623 -6.549 0.000
5.623 6.549 0.000
0.000 0.000 7.190
Dy Er Pd
2 12 6
Direct
0.183 0.817 0.500
0.817 0.183 0.000
0.080 0.465 0.281
0.129 0.207 0.628
0.207 0.129 0.128
0.270 0.730 0.979
0.465 0.080 0.781
0.466 0.534 0.621
0.534 0.466 0.121
0.535 0.920 0.281
0.730 0.270 0.479
0.793 0.871 0.628
0.871 0.793 0.128
0.920 0.535 0.781
0.078 0.922 0.835
0.206 0.412 0.915
0.412 0.206 0.415
0.588 0.794 0.915
0.794 0.588 0.415
0.922 0.078 0.335
```

7.
Compound: FeHg2Pt
Source: the Alexandria database
Functional: GGA-PBE
Structure: optimized geometry

Values from the calculation:
The calculation puts the density of states at the Fermi level at 8.09 states/eV per cell. For the formation energy, the calculation gives 196 meV per atom. As for the space group: R3m. As for the crystal system: trigonal.

Geometry as POSCAR:
```
FeHg2Pt
1.0
2.941 0.000 0.000
-1.470 2.547 0.000
0.000 0.000 29.847
Fe Hg Pt
3 6 3
Direct
0.000 0.000 0.000
0.333 0.667 0.667
0.667 0.333 0.333
0.000 0.000 0.256
0.000 0.000 0.485
0.333 0.667 0.152
0.333 0.667 0.922
0.667 0.333 0.589
0.667 0.333 0.819
0.000 0.000 0.733
0.333 0.667 0.399
0.667 0.333 0.066
```

8.
Compound: Rb2CuSn2
Source: the Alexandria database
Functional: GGA-PBE
Structure: optimized geometry

Values from the calculation:
The calculation puts the density of states at the Fermi level at 7.04 states/eV per cell. For the formation energy, the calculation gives 379 meV per atom. As for the space group: P4/mbm. As for the crystal system: tetragonal.

Geometry as POSCAR:
```
Rb2CuSn2
1.0
10.868 0.000 0.000
0.000 10.868 0.000
0.000 0.000 3.454
Rb Cu Sn
4 2 4
Direct
0.206 0.294 0.000
0.294 0.794 0.000
0.706 0.206 0.000
0.794 0.706 0.000
0.000 0.000 0.500
0.500 0.500 0.500
0.090 0.590 0.500
0.410 0.090 0.500
0.590 0.910 0.500
0.910 0.410 0.500
```

9.
Compound: LiCeTm2S4
Source: the Alexandria database
Functional: GGA-PBE
Structure: optimized geometry

Values from the calculation:
The calculation puts the density of states at the Fermi level at 6.52 states/eV per cell. As for the space group: P2/m. As for the crystal system: monoclinic. The uncorrected formation energy is -1.906 eV per atom.

Geometry as POSCAR:
```
LiCeTm2S4
1.0
6.733 0.000 0.000
0.000 3.874 0.000
-2.233 0.000 6.408
Li Ce Tm S
1 1 2 4
Direct
0.000 0.000 0.000
0.500 0.500 0.000
0.000 0.500 0.500
0.500 0.000 0.500
0.238 0.000 0.740
0.246 0.500 0.256
0.754 0.500 0.744
0.762 0.000 0.260
```

10.
Compound: LiY2S
Source: the Alexandria database
Functional: GGA-PBE
Structure: optimized geometry

Values from the calculation:
The calculation puts the density of states at the Fermi level at 9.07 states/eV per cell. As for the space group: R-3m. As for the crystal system: trigonal. The uncorrected formation energy is -0.731 eV per atom.

Geometry as POSCAR:
```
LiY2S
1.0
3.689 0.000 0.000
-1.845 3.195 0.000
0.000 0.000 29.282
Li Y S
3 6 3
Direct
0.000 0.000 0.000
0.333 0.667 0.667
0.667 0.333 0.333
0.000 0.000 0.111
0.000 0.000 0.889
0.333 0.667 0.556
0.333 0.667 0.778
0.667 0.333 0.222
0.667 0.333 0.444
0.000 0.000 0.500
0.333 0.667 0.167
0.667 0.333 0.833
```

11.
Compound: ZrNiRu
Source: the Alexandria database
Functional: GGA-PBE
Structure: optimized geometry

Values from the calculation:
The calculation puts the density of states at the Fermi level at 11.85 states/eV per cell. For the formation energy, the calculation gives -346 meV per atom. As for the space group: C2/m. As for the crystal system: monoclinic.

Geometry as POSCAR:
```
ZrNiRu
1.0
8.379 0.000 0.000
0.000 4.089 0.000
-1.236 0.000 5.399
Zr Ni Ru
4 4 4
Direct
0.147 0.000 0.296
0.353 0.500 0.704
0.647 0.500 0.296
0.853 0.000 0.704
0.176 0.000 0.825
0.324 0.500 0.175
0.676 0.500 0.825
0.824 0.000 0.175
0.000 0.500 0.000
0.000 0.500 0.500
0.500 0.000 0.000
0.500 0.000 0.500
```

12.
Compound: LaCd10Pb
Source: the Alexandria database
Functional: GGA-PBE
Structure: optimized geometry

Values from the calculation:
The calculation puts the density of states at the Fermi level at 4.30 states/eV per cell. For the formation energy, the calculation gives -80 meV per atom. As for the space group: Pmmm. As for the crystal system: orthorhombic.

Geometry as POSCAR:
```
LaCd10Pb
1.0
4.878 0.000 0.000
0.000 6.013 0.000
0.000 0.000 10.284
La Cd Pb
1 10 1
Direct
0.000 0.000 0.000
0.000 0.000 0.340
0.000 0.000 0.660
0.000 0.500 0.178
0.000 0.500 0.822
0.500 0.000 0.500
0.500 0.239 0.237
0.500 0.239 0.763
0.500 0.500 0.000
0.500 0.761 0.237
0.500 0.761 0.763
0.000 0.500 0.500
```

Number 1: DFT total energy -0.62854 Ry/atom. Number 2: DFT total energy -0.61944 Ry/atom. Number 3: DFT total energy -0.35159 Ry/atom. Number 4: DFT total energy -0.35619 Ry/atom. Number 5: DFT total energy -0.46629 Ry/atom. Number 6: DFT total energy -0.38774 Ry/atom. Number 7: DFT total energy -0.26315 Ry/atom. Number 8: DFT total energy -0.17848 Ry/atom. Number 9: DFT total energy -0.44605 Ry/atom. Number 10: DFT total energy -0.40225 Ry/atom. Number 11: DFT total energy -0.60372 Ry/atom. Number 12: DFT total energy -0.11481 Ry/atom.